Below is a geometry-optimized RbIn2Te2 structure, with properties calculated at the PBE level.

Cell: 6.655 6.655 6.655 Å, 127.80 127.80 76.95°
Atoms (fractional coordinates):
Rb (0.000, 0.000, 0.000)
In (0.355, 0.355, 0.000)
In (0.645, 0.645, 0.000)
Te (0.250, 0.750, 0.500)
Te (0.750, 0.250, 0.500)

Properties
E_form (uncorrected), eV per formula unit: -2.43
Space-group type: No. 139
Energy above the most stable polymorph in this dataset, eV/atom: 0.000
Calculated total energy, eV per atom: -3.031
Magnetic moment, μB/f.u.: 0.0